Entry 1:
An optimized crystal structure of LiCo2Sn2, computed with PBE-GGA.

a b c (Å): 7.3155 7.3155 2.9874
angles (deg): 90.00 90.00 90.00
Closest atoms and distances in Å follow each position.
Element x y z (fractional)
Li 0.0000 0.0000 0.0000  4 Co 2.86, 2 Li 2.99, 8 Sn 3.11
Li 0.5000 0.5000 0.0000  4 Co 2.86, 2 Li 2.99, 8 Sn 3.11
Co 0.1322 0.3678 0.0000  6 Sn 2.58-2.65, 1 Co 2.73, 2 Li 2.86
Co 0.3678 0.8678 0.0000  6 Sn 2.58-2.65, 1 Co 2.73, 2 Li 2.86
Co 0.6322 0.1322 0.0000  6 Sn 2.58-2.65, 1 Co 2.73, 2 Li 2.86
Co 0.8678 0.6322 0.0000  6 Sn 2.58-2.65, 1 Co 2.73, 2 Li 2.86
Sn 0.1647 0.6647 0.5000  6 Co 2.58-2.65
Sn 0.3353 0.1647 0.5000  6 Co 2.58-2.65
Sn 0.6647 0.8353 0.5000  6 Co 2.58-2.65
Sn 0.8353 0.3353 0.5000  6 Co 2.58-2.65

Output
For the formation energy, the calculation gives -0.090 eV/atom. The excess energy over the best structure of this formula in the dataset is 0 meV per atom.

Entry 2:
An optimized crystal structure of LiCo2Sn2, computed with PBE-GGA.

a b c (Å): 4.6874 4.6874 8.2795
angles (deg): 90.00 90.00 90.00
Closest atoms and distances in Å follow each position.
Element x y z (fractional)
Li 0.0000 0.0000 0.0000  2 Co 3.07, 8 Sn 3.13
Li 0.5000 0.5000 0.5000  2 Co 3.07, 8 Sn 3.13
Co 0.0000 0.0000 0.3705  1 Co 2.14
Co 0.0000 0.0000 0.6295  1 Co 2.14
Co 0.5000 0.5000 0.1295  1 Co 2.14
Co 0.5000 0.5000 0.8705  1 Co 2.14
Sn 0.0000 0.5000 0.2500  4 Co 2.55
Sn 0.0000 0.5000 0.7500  4 Co 2.55
Sn 0.5000 0.0000 0.2500  4 Co 2.55
Sn 0.5000 0.0000 0.7500  4 Co 2.55

Output
For the formation energy, the calculation gives 0.131 eV/atom. The excess energy over the best structure of this formula in the dataset is 220 meV per atom.

Entry 3:
An optimized crystal structure of LiCoSn, computed with PBE-GGA.

a b c (Å): 3.2719 3.2719 8.3016
angles (deg): 90.00 90.00 90.00
Closest atoms and distances in Å follow each position.
Element x y z (fractional)
Li 0.0000 0.0000 0.0000  5 Sn 2.64-2.76, 5 Co 2.64-2.87
Li 0.5000 0.5000 0.5000  5 Sn 2.64-2.76, 5 Co 2.64-2.87
Co 0.0000 0.0000 0.6541  5 Li 2.64-2.87, 5 Sn 2.68-2.79
Co 0.5000 0.5000 0.1541  5 Li 2.64-2.87, 5 Sn 2.68-2.79
Sn 0.0000 0.0000 0.3182  5 Li 2.64-2.76, 5 Co 2.68-2.79
Sn 0.5000 0.5000 0.8182  5 Li 2.64-2.76, 5 Co 2.68-2.79

Output
For the formation energy, the calculation gives -0.047 eV/atom.

Entry 4:
An optimized crystal structure of LiCoSn5, computed with PBE-GGA.

a b c (Å): 6.6925 6.6925 9.5649
angles (deg): 110.69 110.69 60.29
Closest atoms and distances in Å follow each position.
Element x y z (fractional)
Li 0.1092 0.8908 0.7500  7 Sn 2.85-3.06
Li 0.8908 0.1092 0.2500  7 Sn 2.85-3.06
Co 0.5000 0.5000 0.0000  6 Sn 2.41-2.65
Co 0.5000 0.5000 0.5000  6 Sn 2.41-2.65
Sn 0.0350 0.7326 0.9644  1 Co 2.65, 1 Li 2.89
Sn 0.1706 0.3682 0.3917  1 Co 2.53
Sn 0.2674 0.9650 0.5356  1 Co 2.65, 1 Li 2.89
Sn 0.3682 0.1706 0.8917  1 Co 2.53
Sn 0.4544 0.5456 0.2500  2 Co 2.41
Sn 0.5456 0.4544 0.7500  2 Co 2.41
Sn 0.6318 0.8294 0.1083  1 Co 2.53
Sn 0.7326 0.0350 0.4644  1 Co 2.65, 1 Li 2.89
Sn 0.8294 0.6318 0.6083  1 Co 2.53
Sn 0.9650 0.2674 0.0356  1 Co 2.65, 1 Li 2.89

Output
For the formation energy, the calculation gives -0.037 eV/atom.

Entry 5:
An optimized crystal structure of LiCo2Sn2, computed with PBE-GGA.

a b c (Å): 3.9055 3.9055 12.0562
angles (deg): 90.00 90.00 90.00
Closest atoms and distances in Å follow each position.
Element x y z (fractional)
Li 0.0000 0.0000 0.0000  8 Sn 3.12
Li 0.5000 0.5000 0.5000  8 Sn 3.12
Co 0.0000 0.5000 0.2500  4 Sn 2.50, 4 Co 2.76
Co 0.0000 0.5000 0.7500  4 Sn 2.50, 4 Co 2.76
Co 0.5000 0.0000 0.2500  4 Sn 2.50, 4 Co 2.76
Co 0.5000 0.0000 0.7500  4 Sn 2.50, 4 Co 2.76
Sn 0.0000 0.0000 0.3801  4 Co 2.50
Sn 0.0000 0.0000 0.6199  4 Co 2.50
Sn 0.5000 0.5000 0.1199  4 Co 2.50
Sn 0.5000 0.5000 0.8801  4 Co 2.50

Output
For the formation energy, the calculation gives 0.080 eV/atom. The excess energy over the best structure of this formula in the dataset is 169 meV per atom.

Entry 6:
An optimized crystal structure of Li2Co2Sn, computed with PBE-GGA.

a b c (Å): 6.2470 6.2470 3.9462
angles (deg): 90.00 90.00 90.00
Closest atoms and distances in Å follow each position.
Element x y z (fractional)
Li 0.1657 0.3343 0.0000  6 Co 2.69-2.71, 1 Li 2.93
Li 0.3343 0.8343 0.0000  6 Co 2.69-2.71, 1 Li 2.93
Li 0.6657 0.1657 0.0000  6 Co 2.69-2.71, 1 Li 2.93
Li 0.8343 0.6657 0.0000  6 Co 2.69-2.71, 1 Li 2.93
Co 0.1237 0.6237 0.5000  1 Co 2.19
Co 0.3763 0.1237 0.5000  1 Co 2.19
Co 0.6237 0.8763 0.5000  1 Co 2.19
Co 0.8763 0.3763 0.5000  1 Co 2.19
Sn 0.0000 0.0000 0.5000  4 Co 2.47
Sn 0.5000 0.5000 0.5000  4 Co 2.47

Output
For the formation energy, the calculation gives 0.139 eV/atom.

Entry 7:
An optimized crystal structure of LiCo2Sn8, computed with PBE-GGA.

a b c (Å): 7.4597 7.4597 4.9897
angles (deg): 90.08 90.08 75.13
Closest atoms and distances in Å follow each position.
Element x y z (fractional)
Li 0.0000 0.0000 0.0000  2 Co 2.59, 4 Sn 2.84
Co 0.1947 0.1947 0.7631  5 Sn 2.50-2.53, 1 Li 2.59
Co 0.8053 0.8053 0.2369  5 Sn 2.50-2.53, 1 Li 2.59
Sn 0.1459 0.6605 0.2750  1 Co 2.50
Sn 0.2246 0.2246 0.2628  2 Co 2.52
Sn 0.3395 0.8541 0.7250  1 Co 2.50
Sn 0.4090 0.4090 0.7675  1 Co 2.53
Sn 0.5910 0.5910 0.2325  1 Co 2.53
Sn 0.6605 0.1459 0.2750  1 Co 2.50
Sn 0.7754 0.7754 0.7372  2 Co 2.52
Sn 0.8541 0.3395 0.7250  1 Co 2.50

Output
For the formation energy, the calculation gives 0.077 eV/atom.

Entry 8:
An optimized crystal structure of LiTbCoSn, computed with PBE-GGA.

a b c (Å): 6.5720 6.5720 6.5720
angles (deg): 90.00 90.00 90.00
Closest atoms and distances in Å follow each position.
Element x y z (fractional)
Li 0.0000 0.0000 0.0000  4 Sn 2.85, 4 Tb 2.85
Li 0.0000 0.5000 0.5000  4 Sn 2.85, 4 Tb 2.85
Li 0.5000 0.0000 0.5000  4 Sn 2.85, 4 Tb 2.85
Li 0.5000 0.5000 0.0000  4 Sn 2.85, 4 Tb 2.85
Tb 0.2500 0.2500 0.7500  4 Li 2.85, 4 Co 2.85
Tb 0.2500 0.7500 0.2500  4 Li 2.85, 4 Co 2.85
Tb 0.7500 0.2500 0.2500  4 Li 2.85, 4 Co 2.85
Tb 0.7500 0.7500 0.7500  4 Li 2.85, 4 Co 2.85
Co 0.0000 0.0000 0.5000  4 Tb 2.85, 4 Sn 2.85
Co 0.0000 0.5000 0.0000  4 Tb 2.85, 4 Sn 2.85
Co 0.5000 0.0000 0.0000  4 Tb 2.85, 4 Sn 2.85
Co 0.5000 0.5000 0.5000  4 Tb 2.85, 4 Sn 2.85
Sn 0.2500 0.2500 0.2500  4 Li 2.85, 4 Co 2.85
Sn 0.2500 0.7500 0.7500  4 Li 2.85, 4 Co 2.85
Sn 0.7500 0.2500 0.7500  4 Li 2.85, 4 Co 2.85
Sn 0.7500 0.7500 0.2500  4 Li 2.85, 4 Co 2.85

Output
For the formation energy, the calculation gives -0.381 eV/atom.